No. 1
## Li2InRh2 (PBE)

Data for a relaxed structure of Li2InRh2.

a b c (Å): 7.276 7.276 7.276
angles (deg): 153.53 153.53 37.79
Sites, in units of the cell vectors:
Li (0.250, 0.750, 0.500)
Li (0.750, 0.250, 0.500)
In (0.000, 0.000, 0.000)
Rh (0.394, 0.394, 0.000)
Rh (0.606, 0.606, 0.000)

Computed properties:
As for the electronic total energy: -4.274 eV/atom. As for the energy relative to the lowest polymorph listed for this composition: 222.3 meV per atom.

No. 2
## LiInRh (PBE)

Data for a relaxed structure of LiInRh.

a b c (Å): 4.864 4.864 4.864
angles (deg): 142.72 136.16 58.87
Sites, in units of the cell vectors:
Li (0.000, 0.000, 0.000)
In (0.319, 0.319, 0.000)
Rh (0.653, 0.653, 0.000)

Computed properties:
As for the electronic total energy: -4.343 eV/atom.

No. 3
## Li5InRh2 (PBE)

Data for a relaxed structure of Li5InRh2.

a b c (Å): 5.483 10.932 3.958
angles (deg): 90.00 90.00 90.00
Sites, in units of the cell vectors:
Li (0.000, 0.000, 0.000)
Li (0.014, 0.246, 0.000)
Li (0.230, 0.869, 0.500)
Li (0.270, 0.369, 0.500)
Li (0.486, 0.746, 0.000)
Li (0.500, 0.500, 0.000)
Li (0.514, 0.254, 0.000)
Li (0.730, 0.631, 0.500)
Li (0.770, 0.131, 0.500)
Li (0.986, 0.754, 0.000)
In (0.000, 0.500, 0.000)
In (0.500, 0.000, 0.000)
Rh (0.233, 0.622, 0.500)
Rh (0.267, 0.122, 0.500)
Rh (0.733, 0.878, 0.500)
Rh (0.767, 0.378, 0.500)

Computed properties:
As for the electronic total energy: -3.562 eV/atom.

No. 4
## Li3In3Rh (PBE)

Data for a relaxed structure of Li3In3Rh.

a b c (Å): 6.615 6.615 6.255
angles (deg): 90.00 90.00 93.88
Sites, in units of the cell vectors:
Li (0.156, 0.156, 0.500)
Li (0.200, 0.200, 0.000)
Li (0.247, 0.753, 0.000)
Li (0.753, 0.247, 0.000)
Li (0.800, 0.800, 0.000)
Li (0.844, 0.844, 0.500)
In (0.000, 0.500, 0.253)
In (0.000, 0.500, 0.747)
In (0.500, 0.000, 0.253)
In (0.500, 0.000, 0.747)
In (0.500, 0.500, 0.248)
In (0.500, 0.500, 0.752)
Rh (0.266, 0.734, 0.500)
Rh (0.734, 0.266, 0.500)

Computed properties:
As for the electronic total energy: -3.308 eV/atom.

Number 1: Fermi-level density of states 0.36 states/eV/atom, ΔE_f -2 kJ per mole of atoms. Number 2: Fermi-level density of states 0.35 states/eV/atom, ΔE_f -33 kJ per mole of atoms. Number 3: Fermi-level density of states 0.35 states/eV/atom, ΔE_f -18 kJ per mole of atoms. Number 4: Fermi-level density of states 0.35 states/eV/atom, ΔE_f -25 kJ per mole of atoms.